# RbCr3O (GGA+U, optimized geometry)
data_RbCr3O
_space_group_name_H-M_alt 'P 1'
_space_group_IT_number 1
_cell_length_a 6.339
_cell_length_b 6.339
_cell_length_c 6.339
_cell_angle_alpha 90.00
_cell_angle_beta 90.00
_cell_angle_gamma 90.00
loop_
_space_group_symop_operation_xyz
'x,y,z'
loop_
_atom_site_label
_atom_site_type_symbol
_atom_site_fract_x
_atom_site_fract_y
_atom_site_fract_z
Rb1 Rb 0.000 0.000 0.000
Cr1 Cr 0.000 0.000 0.500
Cr2 Cr 0.000 0.500 0.000
Cr3 Cr 0.500 0.000 0.000
O1 O 0.500 0.500 0.500
# Magnetization ... 3.056 μB per atom
# E ... -18.4 eV/cell
# Energy above the most stable polymorph in this dataset ... 1.654 eV/atom
# Space-group type ... Pm-3m (221)